No. 1
A plane-wave DFT calculation with PBE-GGA was carried out for a relaxed structure of LiAuO2.

Results
Energy relative to the elements, uncorrected in eV per atom: -0.47
Magnetization in Bohr magnetons per cell: 0.00
Density of states at the Fermi level in states/eV/atom: 0.20

POSCAR file:
```
LiAuO2
1.0
5.433 0.000 0.000
0.000 5.433 0.000
2.717 2.717 3.166
Au O Li
2 4 2
Direct
0.000 0.000 0.000 Au
0.750 0.250 0.500 Au
0.612 0.125 0.250 O
0.138 0.625 0.250 O
0.375 0.388 0.750 O
0.875 0.862 0.750 O
0.500 0.500 0.000 Li
0.250 0.750 0.500 Li
```

---

No. 2
A plane-wave DFT calculation with PBE-GGA was carried out for a relaxed structure of LiAuO2.

Results
Energy relative to the elements, uncorrected in eV per atom: -0.85
Magnetization in Bohr magnetons per cell: 0.00

POSCAR file:
```
LiAuO2
1.0
-0.594 -4.703 3.425
-1.723 -5.575 -0.395
4.138 -3.440 -0.438
Li Au O
2 2 4
Direct
0.372 0.628 0.250 Li
0.628 0.372 0.750 Li
0.000 0.500 0.000 Au
0.500 0.000 0.500 Au
0.315 0.406 0.632 O
0.406 0.315 0.132 O
0.594 0.685 0.868 O
0.685 0.594 0.368 O
```

---

| no. | energy (hartree per atom) |
| --- | --- |
| 1 | -0.1561 |
| 2 | -0.1699 |